Arrangement 1

This record from Alexandria describes a geometry-optimized LiVF4 structure. The functional is PBE with a Hubbard U.

a = 5.6348 Å, b = 5.6348 Å, c = 5.6348 Å
α = 107.70°, β = 107.70°, γ = 113.07°
Sites, in units of the cell vectors:
Li1 0.7627 0.2627 0.5000
F1 0.7621 0.9614 0.1994
F2 0.2114 0.5121 0.6994
V1 0.2375 0.7375 0.5000
F3 0.2875 0.9878 0.2997
Li2 0.5127 0.5127 0.0000
F4 0.2378 0.0375 0.7997
F5 0.6881 0.9878 0.7003
F6 0.2378 0.4381 0.2003
F7 0.8127 0.5121 0.3006
F8 0.7621 0.5627 0.8006
V2 0.9875 0.9875 0.0000

Summary:
Size of the total moment   2.00 μB per formula unit
Space group   I4_1md, No. 109

Arrangement 2

This record from Alexandria describes a geometry-optimized LiVF4 structure. The functional is PBE with a Hubbard U.

a = 4.7151 Å, b = 4.7151 Å, c = 3.1189 Å
α = 90.00°, β = 90.00°, γ = 92.49°
Sites, in units of the cell vectors:
F1 0.2945 0.2945 0.5000
V1 0.0000 0.0000 0.5000
F2 0.1892 0.8108 0.0000
Li1 0.5000 0.5000 0.0000
F3 0.8108 0.1892 0.0000
F4 0.7055 0.7055 0.5000

Summary:
Size of the total moment   2.00 μB per formula unit
Space group   Cmmm, No. 65

Which structure is the least stable? The one labeled arrangement 1.